Entry 1:
The following is a PBE-GGA calculation of a relaxed NaInOs crystal, from the Open Quantum Materials Database.

Properties
Total magnetization, μB/cell: 0.02
Crystal system: cubic

The structure in POSCAR format:
```
NaInOs
1.0
0.000 3.231 3.231
3.231 0.000 3.231
3.231 3.231 0.000
In Na Os
1 1 1
Cartesian
1.615 1.615 1.615
4.846 4.846 4.846
0.000 0.000 0.000
```


Entry 2:
The following is a PBE-GGA calculation of a relaxed NaPaIn crystal, from the Open Quantum Materials Database.

Properties
Total magnetization, μB/cell: 1.10
Crystal system: cubic

The structure in POSCAR format:
```
NaPaIn
1.0
-1.994 -4.461 1.658
-3.802 0.011 3.488
-4.778 -1.364 -1.388
In Na Pa
1 1 1
Cartesian
-2.644 -1.453 0.939
-7.931 -4.360 2.818
0.000 0.000 0.000
```


| no. | offset from the most stable computed form (meV/atom) |
| --- | --- |
| 1 | 0 |
| 2 | 335 |